A geometry-optimized LaNdCo2Si2 structure. Source: OQMD via LeMat-Bulk, functional PBE.

Cell and atoms, written as extended XYZ:
```
6
Lattice="4.030 0.000 0.000 0.000 4.030 0.000 0.000 0.000 7.068" Properties=species:S:1:pos:R:3 pbc="T T T"
La 0.000 0.000 0.000
Nd 2.015 2.015 4.474
Co 0.000 2.015 2.271
Co 2.015 0.000 2.271
Si 0.000 0.000 3.452
Si 2.015 2.015 1.103
```

Computed properties:
Space group: No. 99
Calculated total energy in eV/atom: -6.477
Mass density in g cm⁻³: 6.6